No. 1
Compound: Be4AlCo
Source: Alexandria
Functional: PBE
Structure: optimized geometry

Structure (POSCAR):
```
Be4AlCo
1.0
4.2185 0.0000 0.0000
2.1093 3.6534 0.0000
2.1093 1.2178 3.4444
Be Co Al
4 1 1
Direct
0.6241 0.6241 0.1278 Be
0.6241 0.6241 0.6241 Be
0.1278 0.6241 0.6241 Be
0.6241 0.1278 0.6241 Be
0.2500 0.2500 0.2500 Co
0.0000 0.0000 0.0000 Al
```

Values from the calculation:
D(E_F) (states/eV/cell): 0.04
Volume (Å³/atom): 8.85
Formation energy (meV/atom): -355

=====

No. 2
Compound: Rb2AcSO6
Source: Alexandria
Functional: PBE
Structure: optimized geometry

Structure (POSCAR):
```
Rb2AcSO6
1.0
-1.8975 5.7950 0.5510
-4.8698 -1.9498 3.7368
5.6499 1.5983 2.6466
S Ac O Rb
1 1 6 2
Direct
0.0000 0.0000 0.0000 S
0.5000 0.0000 0.0000 Ac
0.1614 0.8762 0.1238 O
0.8386 0.1238 0.2476 O
0.1614 0.2476 0.1238 O
0.8386 0.7524 0.8762 O
0.8386 0.1238 0.8762 O
0.1614 0.8762 0.7524 O
0.9088 0.6667 0.3333 Rb
0.0912 0.3333 0.6667 Rb
```

Values from the calculation:
Formation energy from raw total energies (eV per formula unit): -15.4
D(E_F) (states/eV/cell): 0.64
Volume (Å³/atom): 21.99

=====

No. 3
Compound: Ba5Hg
Source: Alexandria
Functional: PBE
Structure: optimized geometry

Structure (POSCAR):
```
Ba5Hg
1.0
4.6786 0.0000 1.1213
1.4948 8.9350 4.0844
0.3922 1.1562 8.6850
Ba Hg
5 1
Direct
0.0311 0.9177 0.0202 Ba
0.3903 0.3021 0.9173 Ba
0.0810 0.3827 0.4553 Ba
0.7139 0.6172 0.9550 Ba
0.3142 0.8873 0.4844 Ba
0.6362 0.0598 0.6678 Hg
```

Values from the calculation:
D(E_F) (states/eV/cell): 7.65
Volume (Å³/atom): 56.50
Relative energy among the computed polymorphs (meV per atom): 76
Formation energy (meV/atom): -85